# 1
Density functional theory data (PBE-GGA) for an optimized crystal structure of Ac6Tl5Ag.

Cell: 10.070 5.817 9.195 Å, 71.34 79.34 54.70°
Atoms (fractional coordinates):
Ac 0.754 0.082 0.328
Ac 0.246 0.590 0.328
Ac 0.243 0.257 0.000
Ac 0.757 0.743 0.000
Ac 0.754 0.410 0.672
Ac 0.246 0.918 0.672
Tl 0.500 0.168 0.665
Tl 0.000 0.335 0.331
Tl 0.500 0.500 0.000
Tl 0.000 0.665 0.669
Tl 0.500 0.832 0.335
Ag 0.000 0.000 0.000

Summary:
The total energy is -3.60 eV/atom. The calculation puts the magnetization at 0.0 Bohr magnetons per cell. The value obtained for the formation energy is -7.53 kcal/mol of atoms.


# 2
Density functional theory data (PBE-GGA) for an optimized crystal structure of AcTlAg.

Cell: 3.883 5.118 5.118 Å, 120.00 90.00 90.00°
Atoms (fractional coordinates):
Ac 0.667 0.333 0.667
Tl 0.167 0.000 0.000
Ag 0.166 0.667 0.333

Summary:
The total energy is -3.43 eV/atom. The calculation puts the magnetization at 0.0 Bohr magnetons per cell. The value obtained for the formation energy is -7.38 kcal/mol of atoms.


# 3
Density functional theory data (PBE-GGA) for an optimized crystal structure of Ac3TlAg3.

Cell: 4.769 6.464 15.393 Å, 83.93 81.09 68.36°
Atoms (fractional coordinates):
Ac 0.533 0.319 0.615
Ac 0.467 0.681 0.385
Ac 0.260 0.254 0.226
Ac 0.740 0.746 0.774
Ac 0.390 0.297 0.922
Ac 0.610 0.703 0.078
Tl 0.757 0.094 0.393
Tl 0.243 0.906 0.607
Ag 0.876 0.706 0.542
Ag 0.124 0.294 0.458
Ag 0.107 0.861 0.924
Ag 0.893 0.139 0.076
Ag 0.977 0.819 0.227
Ag 0.023 0.181 0.773

Summary:
The total energy is -3.57 eV/atom. The calculation puts the magnetization at 0.0 Bohr magnetons per cell. The value obtained for the formation energy is -5.82 kcal/mol of atoms.


# 4
Density functional theory data (PBE-GGA) for an optimized crystal structure of AcTl2Ag9.

Cell: 5.728 5.728 9.856 Å, 73.11 73.11 60.00°
Atoms (fractional coordinates):
Ac 0.000 0.000 0.000
Tl 0.857 0.857 0.428
Tl 0.143 0.143 0.572
Ag 0.667 0.667 0.000
Ag 0.333 0.333 0.000
Ag 0.500 0.500 0.500
Ag 0.415 0.415 0.252
Ag 0.919 0.415 0.252
Ag 0.415 0.919 0.252
Ag 0.585 0.585 0.748
Ag 0.585 0.081 0.748
Ag 0.081 0.585 0.748

Summary:
The total energy is -2.93 eV/atom. The calculation puts the magnetization at 0.0 Bohr magnetons per cell. The value obtained for the formation energy is -1.25 kcal/mol of atoms.


# 5
Density functional theory data (PBE-GGA) for an optimized crystal structure of Ac3Tl2Ag.

Cell: 4.047 5.775 9.176 Å, 108.34 90.00 90.00°
Atoms (fractional coordinates):
Ac 0.500 0.500 0.000
Ac 0.500 0.840 0.681
Ac 0.500 0.160 0.319
Tl 0.000 0.332 0.663
Tl 0.000 0.668 0.337
Ag 0.000 0.000 0.000

Summary:
The total energy is -3.62 eV/atom. The calculation puts the magnetization at 0.6 Bohr magnetons per cell. The value obtained for the formation energy is -7.03 kcal/mol of atoms.


# 6
Density functional theory data (PBE-GGA) for an optimized crystal structure of Ac5Tl2Ag.

Cell: 8.479 8.479 10.322 Å, 114.25 114.25 90.00°
Atoms (fractional coordinates):
Ac 0.518 0.679 0.696
Ac 0.821 0.982 0.304
Ac 0.000 0.000 0.000
Ac 0.500 0.500 0.000
Ac 0.179 0.018 0.696
Ac 0.679 0.179 0.696
Ac 0.018 0.518 0.696
Ac 0.321 0.821 0.304
Ac 0.982 0.482 0.304
Ac 0.482 0.321 0.304
Tl 0.125 0.375 0.000
Tl 0.625 0.125 0.000
Tl 0.375 0.875 0.000
Tl 0.875 0.625 0.000
Ag 0.750 0.750 0.500
Ag 0.250 0.250 0.500

Summary:
The total energy is -3.71 eV/atom. The calculation puts the magnetization at 0.0 Bohr magnetons per cell. The value obtained for the formation energy is -4.47 kcal/mol of atoms.


# 7
Density functional theory data (PBE-GGA) for an optimized crystal structure of Ac3Tl4Ag4.

Cell: 3.999 5.050 15.847 Å, 80.92 82.68 90.00°
Atoms (fractional coordinates):
Ac 0.140 0.641 0.716
Ac 0.860 0.359 0.284
Ac 0.000 0.000 0.000
Tl 0.592 0.093 0.813
Tl 0.260 0.261 0.479
Tl 0.740 0.739 0.520
Tl 0.408 0.907 0.187
Ag 0.546 0.546 0.909
Ag 0.454 0.454 0.092
Ag 0.316 0.815 0.372
Ag 0.684 0.185 0.628

Summary:
The total energy is -3.26 eV/atom. The calculation puts the magnetization at 0.0 Bohr magnetons per cell. The value obtained for the formation energy is -5.56 kcal/mol of atoms.


# 8
Density functional theory data (PBE-GGA) for an optimized crystal structure of Ac8Tl2Ag.

Cell: 5.662 7.559 10.690 Å, 101.71 105.36 90.00°
Atoms (fractional coordinates):
Ac 0.409 0.538 0.817
Ac 0.654 0.978 0.308
Ac 0.793 0.686 0.586
Ac 0.981 0.230 0.963
Ac 0.207 0.314 0.414
Ac 0.346 0.022 0.692
Ac 0.591 0.462 0.183
Ac 0.019 0.770 0.037
Tl 0.813 0.246 0.626
Tl 0.187 0.754 0.374
Ag 0.500 0.000 0.000

Summary:
The total energy is -3.81 eV/atom. The calculation puts the magnetization at 0.0 Bohr magnetons per cell. The value obtained for the formation energy is -3.11 kcal/mol of atoms.


Question: Which value of magnetization does entry 5 give?
Answer: 0.6 Bohr magnetons per cell


What did the eighth record say?
Density functional theory data (PBE-GGA) for an optimized crystal structure of Ac8Tl2Ag.

Cell: 5.662 7.559 10.690 Å, 101.71 105.36 90.00°
Atoms (fractional coordinates):
Ac 0.409 0.538 0.817
Ac 0.654 0.978 0.308
Ac 0.793 0.686 0.586
Ac 0.981 0.230 0.963
Ac 0.207 0.314 0.414
Ac 0.346 0.022 0.692
Ac 0.591 0.462 0.183
Ac 0.019 0.770 0.037
Tl 0.813 0.246 0.626
Tl 0.187 0.754 0.374
Ag 0.500 0.000 0.000

Summary:
The total energy is -3.81 eV/atom. The calculation puts the magnetization at 0.0 Bohr magnetons per cell. The value obtained for the formation energy is -3.11 kcal/mol of atoms.